# Dy2Ga5Pd4

Crystalline Dy2Ga5Pd4 at its relaxed geometry (PBE, Alexandria via LeMat-Bulk).

Unit cell a=5.3736 b=9.1162 c=16.6207 alpha=90.00 beta=90.00 gamma=90.00
Closest atoms and distances in Å follow each position.
Space group Fmmm (No. 69)
Unique sites:
Dy 0.0000 0.0000 0.1229 [8 per cell]  6 Pd 3.07-3.09, 10 Ga 3.34-3.39
Ga 0.0000 0.0000 0.5000 [4 per cell]  4 Pd 2.62, 4 Ga 2.65
Ga 0.2500 0.2500 0.0000 [8 per cell]  4 Ga 2.65-2.69, 4 Pd 2.67
Ga 0.2500 0.2500 0.2500 [8 per cell]  4 Pd 2.53, 2 Ga 2.69
Pd 0.0000 0.1619 0.3697 [16 per cell]  5 Ga 2.53-2.67

Calculated values
E	-0.17786	Ha/atom

---

# DyGa2Pd

Crystalline DyGa2Pd at its relaxed geometry (PBE, Alexandria via LeMat-Bulk).

Unit cell a=4.1334 b=4.1334 c=4.4654 alpha=90.00 beta=90.00 gamma=90.00
Closest atoms and distances in Å follow each position.
Space group P4/mmm (No. 123)
Unique sites:
Dy 0.0000 0.0000 0.0000 [1 per cell]  4 Pd 2.92, 8 Ga 3.04
Ga 0.0000 0.5000 0.5000 [2 per cell]  4 Ga 2.92, 4 Pd 3.04, 4 Dy 3.04
Pd 0.5000 0.5000 0.0000 [1 per cell]  4 Dy 2.92, 8 Ga 3.04

Calculated values
E	-0.16747	Ha/atom

---

# Dy2Ga3Pd4

Crystalline Dy2Ga3Pd4 at its relaxed geometry (PBE, Alexandria via LeMat-Bulk).

Unit cell a=5.5842 b=15.2014 c=7.7021 alpha=90.00 beta=90.00 gamma=90.00
Closest atoms and distances in Å follow each position.
Space group Cmce (No. 64)
Unique sites:
Dy 0.0000 0.1099 0.0834 [8 per cell]  8 Pd 3.02-3.26, 4 Ga 3.08-3.32
Ga 0.0000 0.0000 0.5000 [4 per cell]  6 Pd 2.55-2.77
Ga 0.2500 0.2307 0.7500 [8 per cell]  5 Pd 2.60-2.62, 2 Ga 2.79
Pd 0.0000 0.1822 0.4806 [8 per cell]  5 Ga 2.61-2.77
Pd 0.2500 0.0596 0.7500 [8 per cell]  3 Ga 2.55-2.60, 2 Pd 2.79

Calculated values
E	-0.19075	Ha/atom